# 1
The following is a PBE-GGA calculation of a geometry-optimized SrPrHgAu structure, from the Alexandria database.

The space group is P4mm (No. 99) and the conventional cell measures 3.8594, 3.8594 and 7.7713 Å, with angles of 90.00, 90.00 and 90.00 degrees. Symmetry generates all atoms from Sr at (0.0000, 0.0000, 0.0000), Pr at (0.0000, 0.0000, 0.4765), Hg at (0.5000, 0.5000, 0.7247) and Au at (0.5000, 0.5000, 0.2689).

As for the offset from the most stable computed form: 0.0 meV/atom. The size of the total moment comes out at 0.000 μB per atom. For the formation energy, the calculation gives -241 kJ/mol of formula units.


# 2
The following is a PBE-GGA calculation of a geometry-optimized YInPO2 structure, from the Alexandria database.

The space group is P4/mmm (No. 123) and the conventional cell measures 4.1678, 4.1678 and 5.0611 Å, with angles of 90.00, 90.00 and 90.00 degrees. Symmetry generates all atoms from Y at (0.0000, 0.0000, 0.0000), In at (0.5000, 0.5000, 0.5000), P at (0.5000, 0.5000, 0.0000) and O at (0.0000, 0.5000, 0.5000).

As for the offset from the most stable computed form: 67.4 meV/atom. As for the formation energy from raw total energies: -0.93 eV/atom. The size of the total moment comes out at 0.157 μB per atom.


# 3
The following is a PBE-GGA calculation of a geometry-optimized CaAlAu2 structure, from the Alexandria database.

The space group is P4/mmm (No. 123) and the conventional cell measures 4.6635, 4.6635 and 3.7030 Å, with angles of 90.00, 90.00 and 90.00 degrees. Symmetry generates all atoms from Ca at (0.0000, 0.0000, 0.0000), Al at (0.5000, 0.5000, 0.0000) and Au at (0.0000, 0.5000, 0.5000).

The size of the total moment comes out at 0.000 μB per atom. For the formation energy, the calculation gives -194 kJ/mol of formula units.


# 4
The following is a PBE-GGA calculation of a geometry-optimized TcWAu structure, from the Alexandria database.

The space group is Fmm2 (No. 42) and the conventional cell measures 3.2058, 4.5119 and 13.6861 Å, with angles of 90.00, 90.00 and 90.00 degrees. Symmetry generates all atoms from Tc at (0.0000, 0.0000, 0.0000), W at (0.0000, 0.0000, 0.6476) and Au at (0.0000, 0.0000, 0.3230).

As for the offset from the most stable computed form: 58.0 meV/atom. The size of the total moment comes out at 0.000 μB per atom. For the formation energy, the calculation gives 97 kJ/mol of formula units.


# 5
The following is a PBE-GGA calculation of a geometry-optimized NaIn structure, from the Alexandria database.

The space group is I4/m (No. 87) and the conventional cell measures 12.1213, 12.1213 and 3.3401 Å, with angles of 90.00, 90.00 and 90.00 degrees. Symmetry generates all atoms from Na at (0.1252, 0.6600, 0.0000) and In at (0.0692, 0.1577, 0.0000).

The size of the total moment comes out at 0.000 μB per atom. For the formation energy, the calculation gives -3 kJ/mol of formula units.


# 6
The following is a PBE-GGA calculation of a geometry-optimized RbBaSrIn structure, from the Alexandria database.

The space group is F-43m (No. 216) and the conventional cell measures 8.8865, 8.8865 and 8.8865 Å, with angles of 90.00, 90.00 and 90.00 degrees. Symmetry generates all atoms from Rb at (0.0000, 0.0000, 0.0000), Ba at (0.2500, 0.2500, 0.2500), Sr at (0.2500, 0.2500, 0.7500) and In at (0.0000, 0.0000, 0.5000).

The size of the total moment comes out at 0.000 μB per atom. For the formation energy, the calculation gives -28 kJ/mol of formula units.


# 7
The following is a PBE-GGA calculation of a geometry-optimized CoHg2Pb structure, from the Alexandria database.

The space group is C2/m (No. 12) and the conventional cell measures 5.7372, 11.0532 and 3.4695 Å, with angles of 90.00, 125.15 and 90.00 degrees. Symmetry generates all atoms from Co at (0.0000, 0.0000, 0.0000), Hg at (0.2500, 0.2500, 0.0000) and Pb at (0.0000, 0.5000, 0.0000).

The size of the total moment comes out at 0.392 μB per atom. For the formation energy, the calculation gives 185 kJ/mol of formula units.


- What is the size of the total moment in the sixth record?
  0.000 μB per atom